PBE Nb2CrRh, relaxed; calculated total energy = -36.67 eV per formula unit; space group = R-3m; distance to the lowest polymorph of the same formula = 1.20 eV/f.u.; calculated formation energy = 0.11 eV/atom; crystal system = trigonal
1.0
1.5051 0.8690 8.1853
-1.5051 0.8690 8.1853
0.0000 -1.7380 8.1853
Nb Cr Rh
2 1 1
Cartesian
0.0000 0.0000 6.0224
0.0000 0.0000 18.5336
0.0000 0.0000 12.2780
0.0000 0.0000 0.0000

***

PBE NbCrRh6, relaxed; calculated total energy = -62.13 eV per formula unit; space group = C2/m; calculated formation energy = 0.21 eV/atom; crystal system = monoclinic
1.0
3.7772 -2.6397 0.0000
3.7772 2.6397 0.0000
-2.5290 0.0000 6.5572
Nb Cr Rh
1 1 6
Cartesian
0.0000 0.0000 0.0000
2.5127 0.0000 3.2786
1.7749 1.3762 1.3391
-0.0062 0.0000 2.8595
3.2505 1.3762 5.2181
1.7749 -1.3762 1.3391
5.0316 0.0000 3.6977
3.2505 -1.3762 5.2181

***

PBE Nb2CrRh, relaxed; calculated total energy = -37.86 eV per formula unit; space group = P4/mmm; distance to the lowest polymorph of the same formula = 0.00 eV/f.u.; calculated formation energy = -0.19 eV/atom; crystal system = tetragonal
1.0
3.1309 0.0000 0.0000
0.0000 3.1309 0.0000
0.0000 0.0000 6.3657
Nb Cr Rh
2 1 1
Cartesian
0.0000 0.0000 1.4867
0.0000 0.0000 4.8790
1.5655 1.5655 0.0000
1.5655 1.5655 3.1829

***

PBE NbCr2Rh5, relaxed; calculated total energy = -67.80 eV per formula unit; space group = Fmm2; calculated formation energy = -0.22 eV/atom; crystal system = orthorhombic
1.0
0.0000 4.3736 4.7223
2.7306 0.0000 4.7223
2.7306 4.3736 0.0000
Nb Cr Rh
1 2 5
Cartesian
0.0000 0.0000 0.0000
2.7306 2.3064 6.3323
2.7306 6.4409 6.3323
1.3653 2.1868 3.9604
4.1191 4.3736 7.0318
2.7306 4.3736 4.7271
4.0960 6.5605 8.6827
1.3422 4.3736 7.0318

***

PBE Nb2CrRh7, relaxed; calculated total energy = -78.44 eV per formula unit; space group = Cmmm; calculated formation energy = 0.28 eV/atom; crystal system = orthorhombic
1.0
4.0218 -7.6146 0.0000
4.0218 7.6146 0.0000
0.0000 0.0000 2.7545
Nb Cr Rh
2 1 7
Cartesian
4.0218 4.9899 0.0000
4.0218 -4.9899 0.0000
4.0218 0.0000 1.3773
0.0000 0.0000 0.0000
2.2516 1.3919 0.0000
4.0218 2.7743 1.3773
2.2516 -1.3919 0.0000
5.7920 1.3919 0.0000
4.0218 -2.7743 1.3773
5.7920 -1.3919 0.0000

***

PBE NbCr2Rh, relaxed; calculated total energy = -36.26 eV per formula unit; space group = Fm-3m; distance to the lowest polymorph of the same formula = 0.00 eV/f.u.; calculated formation energy = 0.10 eV/atom; crystal system = cubic
1.0
0.0000 3.0477 3.0477
3.0477 0.0000 3.0477
3.0477 3.0477 0.0000
Nb Cr Rh
1 2 1
Cartesian
0.0000 0.0000 0.0000
1.5238 1.5238 1.5238
4.5715 4.5715 4.5715
3.0477 3.0477 3.0477

***

PBE NbCr2RuRh, relaxed; calculated total energy = -38.07 eV per formula unit; space group = P4/mmm; calculated formation energy = 1.57 eV/atom; crystal system = tetragonal
1.0
4.3617 0.0000 0.0000
0.0000 4.3617 0.0000
0.0000 0.0000 4.7936
Nb Cr Ru Rh
1 2 1 1
Cartesian
0.0000 0.0000 0.0000
0.0000 2.1808 2.3968
2.1808 0.0000 2.3968
2.1808 2.1808 0.0000
0.0000 0.0000 2.3968

***

PBE NbCrRh2Se, relaxed; calculated total energy = -33.87 eV per formula unit; raw formation energy = 0.802 eV per atom; space group = P4/mmm; crystal system = tetragonal
1.0
4.4724 0.0000 0.0000
0.0000 4.4724 0.0000
0.0000 0.0000 4.4900
Nb Cr Rh Se
1 1 2 1
Cartesian
0.0000 0.0000 0.0000
2.2362 2.2362 2.2450
0.0000 2.2362 2.2450
2.2362 0.0000 2.2450
2.2362 2.2362 0.0000

***

PBE TiNbCrRh, relaxed; calculated total energy = -36.13 eV per formula unit; space group = F-43m; calculated formation energy = -0.30 eV/atom; crystal system = cubic
1.0
0.0000 3.1084 3.1084
3.1084 0.0000 3.1084
3.1084 3.1084 0.0000
Ti Nb Cr Rh
1 1 1 1
Cartesian
0.0000 0.0000 0.0000
3.1084 3.1084 3.1084
1.5542 1.5542 1.5542
4.6627 4.6627 4.6627

***

PBE YNbCr2Rh, relaxed; calculated total energy = -38.04 eV per formula unit; space group = P4/mmm; calculated formation energy = 1.02 eV/atom; crystal system = tetragonal
1.0
4.7561 0.0000 0.0000
0.0000 4.7561 0.0000
0.0000 0.0000 5.0889
Y Nb Cr Rh
1 1 2 1
Cartesian
0.0000 0.0000 0.0000
2.3781 2.3781 0.0000
0.0000 2.3781 2.5444
2.3781 0.0000 2.5444
0.0000 0.0000 2.5444

***

PBE NbCrRu2, relaxed; calculated total energy = -38.47 eV per formula unit; space group = P4/mmm; calculated formation energy = -0.06 eV/atom; crystal system = tetragonal
1.0
4.3411 0.0000 0.0000
0.0000 4.3411 0.0000
0.0000 0.0000 3.1742
Nb Cr Ru
1 1 2
Cartesian
0.0000 0.0000 0.0000
2.1705 2.1705 0.0000
0.0000 2.1705 1.5871
2.1705 0.0000 1.5871

***

PBE NbCr4Ru, relaxed; calculated total energy = -57.58 eV per formula unit; space group = F-43m; calculated formation energy = 0.04 eV/atom; crystal system = cubic
1.0
0.0000 3.4109 3.4109
3.4109 0.0000 3.4109
3.4109 3.4109 0.0000
Nb Cr Ru
1 4 1
Cartesian
0.0000 0.0000 0.0000
2.5491 2.5491 2.5491
4.2726 4.2726 2.5491
4.2726 2.5491 4.2726
2.5491 4.2726 4.2726
5.1163 5.1163 5.1163

***

PBE NbCrRu, relaxed; calculated total energy = -29.32 eV per formula unit; space group = Amm2; distance to the lowest polymorph of the same formula = 0.00 eV/f.u.; calculated formation energy = -0.12 eV/atom; crystal system = orthorhombic
1.0
8.3375 0.0000 0.0000
0.0000 2.5451 4.1979
0.0000 -2.5451 4.1979
Nb Cr Ru
4 4 4
Cartesian
1.5147 0.0000 0.0000
2.5670 0.0000 5.6052
5.7706 0.0000 5.6052
6.8229 0.0000 0.0000
0.0000 -1.2144 6.2536
0.0000 0.0000 4.2824
0.0000 1.2144 6.2536
4.1688 0.0000 1.4029
2.0548 0.0000 2.7568
4.1688 -1.3050 3.5931
4.1688 1.3050 3.5931
6.2827 0.0000 2.7568

***

PBE NbCr2Ru2, relaxed; calculated total energy = -47.47 eV per formula unit; space group = P4/mbm; distance to the lowest polymorph of the same formula = 0.00 eV/f.u.; calculated formation energy = 0.08 eV/atom; crystal system = tetragonal
1.0
7.1235 0.0000 0.0000
0.0000 7.1235 0.0000
0.0000 0.0000 2.7876
Nb Cr Ru
2 4 4
Cartesian
0.0000 0.0000 0.0000
3.5618 3.5618 0.0000
1.0578 2.5039 0.0000
2.5039 6.0657 0.0000
4.6196 1.0578 0.0000
6.0657 4.6196 0.0000
1.0693 4.6310 1.3938
2.4925 1.0693 1.3938
4.6310 6.0542 1.3938
6.0542 2.4925 1.3938

***

PBE NbCrRu2, relaxed; calculated total energy = -38.38 eV per formula unit; space group = P4/mmm; calculated formation energy = -0.03 eV/atom; crystal system = tetragonal
1.0
2.8350 0.0000 0.0000
0.0000 2.8350 0.0000
0.0000 0.0000 7.2289
Nb Cr Ru
1 1 2
Cartesian
0.0000 0.0000 0.0000
0.0000 0.0000 3.6144
1.4175 1.4175 2.0725
1.4175 1.4175 5.1563

***

PBE Nb4CrRu, relaxed; calculated total energy = -57.05 eV per formula unit; space group = P2/m; calculated formation energy = 0.35 eV/atom; crystal system = monoclinic
1.0
4.5168 0.0000 0.0000
0.0000 4.1076 0.0000
-0.9067 0.0000 6.1021
Nb Cr Ru
4 1 1
Cartesian
-0.2159 0.0000 1.6088
1.5080 2.0538 4.5316
2.1021 2.0538 1.5705
3.8259 0.0000 4.4933
1.8050 0.0000 3.0511
0.0000 2.0538 0.0000

***

PBE Nb2CrRu2, relaxed; calculated total energy = -47.74 eV per formula unit; space group = P4/mbm; calculated formation energy = 0.11 eV/atom; crystal system = tetragonal
1.0
7.4029 0.0000 0.0000
0.0000 7.4029 0.0000
0.0000 0.0000 3.0721
Nb Cr Ru
4 2 4
Cartesian
1.1975 2.5040 0.0000
2.5040 6.2055 0.0000
4.8989 1.1975 0.0000
6.2055 4.8989 0.0000
0.0000 0.0000 1.5360
3.7015 3.7015 1.5360
1.0225 4.7240 1.5360
2.6789 1.0225 1.5360
4.7240 6.3804 1.5360
6.3804 2.6789 1.5360

***

PBE NbCrRu, relaxed; calculated total energy = -28.85 eV per formula unit; space group = I4mm; distance to the lowest polymorph of the same formula = 0.47 eV/f.u.; calculated formation energy = 0.04 eV/atom; crystal system = tetragonal
1.0
-1.5469 1.5469 4.6207
1.5469 -1.5469 4.6207
1.5469 1.5469 -4.6207
Nb Cr Ru
1 1 1
Cartesian
0.0000 0.0000 0.0000
0.0000 0.0000 3.1500
0.0000 0.0000 6.2428

***

PBE NbCrRu5, relaxed; calculated total energy = -64.64 eV per formula unit; space group = P4/mmm; calculated formation energy = 0.20 eV/atom; crystal system = tetragonal
1.0
4.0878 0.0000 0.0000
0.0000 4.0878 0.0000
0.0000 0.0000 6.3128
Nb Cr Ru
1 1 5
Cartesian
0.0000 0.0000 0.0000
2.0439 2.0439 3.1564
0.0000 2.0439 1.8148
0.0000 2.0439 4.4979
2.0439 0.0000 1.8148
2.0439 0.0000 4.4979
2.0439 2.0439 0.0000

***

PBE NbCrRu2, relaxed; calculated total energy = -36.37 eV per formula unit; space group = I-42d; calculated formation energy = 0.47 eV/atom; crystal system = tetragonal
1.0
-3.4394 3.4394 2.6502
3.4394 -3.4394 2.6502
3.4394 3.4394 -2.6502
Nb Cr Ru
2 2 4
Cartesian
0.0000 0.0000 0.0000
0.0000 3.4394 1.3251
3.4394 0.0000 1.3251
0.0000 0.0000 2.6502
1.7197 2.0316 -0.6626
4.8471 1.7197 0.6626
1.7197 1.4077 1.9877
-1.4077 1.7197 3.3128